Density functional theory data (PBE) for a geometry-optimized CoGePb structure.

```
CoGePb
1.0
0.0000 3.0622 3.0622
3.0622 0.0000 3.0622
3.0622 3.0622 0.0000
Co Ge Pb
1 1 1
Direct
0.0000 0.0000 0.0000
0.7500 0.7500 0.7500
0.2500 0.2500 0.2500
```

Computed properties:
**E**: -4.92 eV/atom